No. 1
Entry from Alexandria: a relaxed structure of Pr2Co5Ni12 (PBE).

Results
Formation enthalpy at 0 K, eV/atom: -0.12
Final energy, Ha/atom: -0.226
Magnetic moment, μB/f.u.: 12.8

a = 6.3205 Å, b = 6.3205 Å, c = 6.3205 Å
α = 83.16°, β = 83.16°, γ = 83.16°
Closest atoms and distances in Å follow each position.
Fractional coordinates of all 19 atoms:
Ni: 0.0000 0.7090 0.2910  2 Co 2.39, 6 Ni 2.44-2.58
Ni: 0.2910 0.7090 0.0000  2 Co 2.39, 6 Ni 2.44-2.58
Ni: 0.7090 0.2910 0.0000  2 Co 2.39, 6 Ni 2.44-2.58
Ni: 0.3406 0.3406 0.8547  3 Co 2.39-2.57, 6 Ni 2.51-2.58
Ni: 0.0000 0.2910 0.7090  2 Co 2.39, 6 Ni 2.44-2.58
Ni: 0.3406 0.8547 0.3406  3 Co 2.39-2.57, 6 Ni 2.51-2.58
Ni: 0.7090 0.0000 0.2910  2 Co 2.39, 6 Ni 2.44-2.58
Ni: 0.1453 0.6594 0.6594  3 Co 2.39-2.57, 6 Ni 2.51-2.58
Ni: 0.6594 0.6594 0.1453  3 Co 2.39-2.57, 6 Ni 2.51-2.58
Ni: 0.6594 0.1453 0.6594  3 Co 2.39-2.57, 6 Ni 2.51-2.58
Ni: 0.2910 0.0000 0.7090  2 Co 2.39, 6 Ni 2.44-2.58
Ni: 0.8547 0.3406 0.3406  3 Co 2.39-2.57, 6 Ni 2.51-2.58
Co: 0.0000 0.0000 0.5000  8 Ni 2.39, 2 Co 2.58
Co: 0.9062 0.9062 0.9062  1 Co 2.28
Co: 0.5000 0.0000 0.0000  8 Ni 2.39, 2 Co 2.58
Co: 0.0000 0.5000 0.0000  8 Ni 2.39, 2 Co 2.58
Co: 0.0938 0.0938 0.0938  1 Co 2.28
Pr: 0.6554 0.6554 0.6554  15 Ni 2.99-3.22, 4 Co 3.06-3.25
Pr: 0.3446 0.3446 0.3446  15 Ni 2.99-3.22, 4 Co 3.06-3.25

---

No. 2
Entry from Alexandria: a relaxed structure of PaCu2S3 (PBE).

Results
Final energy, Ha/atom: -0.215
Formation energy from raw total energies, eV/atom: -0.842
Magnetic moment, μB/f.u.: 1.0

a = 3.9191 Å, b = 6.9513 Å, c = 9.6237 Å
α = 102.81°, β = 90.00°, γ = 90.00°
Closest atoms and distances in Å follow each position.
Fractional coordinates of all 12 atoms:
S: 0.2500 0.2390 0.9857  2 Cu 2.28
S: 0.7500 0.9454 0.6603  2 Cu 2.28-2.38
S: 0.2500 0.0546 0.3397  2 Cu 2.28-2.38
S: 0.7500 0.5247 0.3310  3 Cu 2.35-2.37, 1 Pa 2.61
S: 0.7500 0.7610 0.0143  2 Cu 2.28
S: 0.2500 0.4753 0.6690  3 Cu 2.35-2.37, 1 Pa 2.61
Pa: 0.2500 0.8369 0.8204  6 S 2.61-2.89
Pa: 0.7500 0.1631 0.1796  6 S 2.61-2.89
Cu: 0.2500 0.8081 0.1383  3 S 2.28
Cu: 0.7500 0.5961 0.5831  4 S 2.35-2.38
Cu: 0.2500 0.4039 0.4169  4 S 2.35-2.38
Cu: 0.7500 0.1919 0.8617  3 S 2.28

---

No. 3
Entry from Alexandria: a relaxed structure of LaCuAu (PBE).

Results
Formation enthalpy at 0 K, eV/atom: -0.56
Final energy, Ha/atom: -0.171
Magnetic moment, μB/f.u.: 0.0

a = 4.5302 Å, b = 4.5302 Å, c = 3.8903 Å
α = 90.00°, β = 90.00°, γ = 120.00°
Closest atoms and distances in Å follow each position.
Fractional coordinates of all 3 atoms:
Cu: 0.3333 0.6667 0.1665  3 Au 2.62
Au: 0.0000 0.0000 0.1669  3 Cu 2.62
La: 0.6667 0.3333 0.6666  6 Au 3.26, 6 Cu 3.26

---

No. 4
Entry from Alexandria: a relaxed structure of BeNb2Mo2 (PBE).

Results
Formation enthalpy at 0 K, eV/atom: 0.58
Final energy, Ha/atom: -0.313
Magnetic moment, μB/f.u.: 0.0

a = 6.4027 Å, b = 6.4027 Å, c = 4.0621 Å
α = 90.00°, β = 90.00°, γ = 90.00°
Closest atoms and distances in Å follow each position.
Fractional coordinates of all 10 atoms:
Mo: 0.8267 0.3267 0.5000  2 Nb 2.56
Mo: 0.3267 0.1733 0.5000  2 Nb 2.56
Mo: 0.6733 0.8267 0.5000  2 Nb 2.56
Mo: 0.1733 0.6733 0.5000  2 Nb 2.56
Nb: 0.1537 0.3463 0.0000  2 Be 2.43, 2 Mo 2.56
Nb: 0.8463 0.6537 0.0000  2 Be 2.43, 2 Mo 2.56
Nb: 0.6537 0.1537 0.0000  2 Be 2.43, 2 Mo 2.56
Nb: 0.3463 0.8463 0.0000  2 Be 2.43, 2 Mo 2.56
Be: 0.0000 0.0000 0.0000  4 Nb 2.43
Be: 0.5000 0.5000 0.0000  4 Nb 2.43

---

No. 5
Entry from Alexandria: a relaxed structure of Tb9Nd4Er11 (PBE).

Results
Formation enthalpy at 0 K, eV/atom: 0.06
Final energy, Ha/atom: -0.168
Magnetic moment, μB/f.u.: 0.0

a = 3.6908 Å, b = 15.0366 Å, c = 15.0366 Å
α = 112.73°, β = 90.00°, γ = 90.00°
Closest atoms and distances in Å follow each position.
Fractional coordinates of all 24 atoms:
Er: 0.0000 0.6367 0.3633  4 Nd 3.29, 4 Tb 3.54
Er: 0.0000 0.4074 0.0450  2 Nd 3.40, 6 Tb 3.46-3.67, 3 Er 3.54-3.69
Er: 0.0000 0.3633 0.6367  4 Nd 3.29, 4 Tb 3.54
Er: 0.0000 0.9550 0.5926  2 Nd 3.40, 6 Tb 3.46-3.67, 3 Er 3.54-3.69
Er: 0.0000 0.0450 0.4074  2 Nd 3.40, 6 Tb 3.46-3.67, 3 Er 3.54-3.69
Er: 0.0000 0.0000 0.0000  8 Tb 3.48, 2 Er 3.69
Er: 0.0000 0.8408 0.1592  8 Tb 3.63-3.66, 5 Er 3.69-3.99
Er: 0.0000 0.1592 0.8408  8 Tb 3.63-3.66, 5 Er 3.69-3.99
Er: 0.0000 0.5926 0.9550  2 Nd 3.40, 6 Tb 3.46-3.67, 3 Er 3.54-3.69
Er: 0.0000 0.2855 0.2855  4 Nd 3.27, 4 Tb 3.57
Er: 0.0000 0.7145 0.7145  4 Nd 3.27, 4 Tb 3.57
Tb: 0.5000 0.6341 0.1616  3 Tb 3.40-3.69, 8 Er 3.46-3.67, 1 Nd 3.52
Tb: 0.5000 0.8384 0.3659  3 Tb 3.40-3.69, 8 Er 3.46-3.67, 1 Nd 3.52
Tb: 0.5000 0.7881 0.9345  8 Er 3.48-3.66, 1 Nd 3.52, 3 Tb 3.66-3.69
Tb: 0.5000 0.2119 0.0655  8 Er 3.48-3.66, 1 Nd 3.52, 3 Tb 3.66-3.69
Tb: 0.5000 0.9345 0.7881  8 Er 3.48-3.66, 1 Nd 3.52, 3 Tb 3.66-3.69
Tb: 0.5000 0.3659 0.8384  3 Tb 3.40-3.69, 8 Er 3.46-3.67, 1 Nd 3.52
Tb: 0.5000 0.0655 0.2119  8 Er 3.48-3.66, 1 Nd 3.52, 3 Tb 3.66-3.69
Tb: 0.5000 0.5000 0.5000  4 Nd 3.58, 2 Tb 3.69, 4 Er 3.89
Tb: 0.5000 0.1616 0.6341  3 Tb 3.40-3.69, 8 Er 3.46-3.67, 1 Nd 3.52
Nd: 0.5000 0.5538 0.7538  6 Er 3.27-3.40, 3 Tb 3.52-3.58
Nd: 0.5000 0.7538 0.5538  6 Er 3.27-3.40, 3 Tb 3.52-3.58
Nd: 0.5000 0.2462 0.4462  6 Er 3.27-3.40, 3 Tb 3.52-3.58
Nd: 0.5000 0.4462 0.2462  6 Er 3.27-3.40, 3 Tb 3.52-3.58

---

No. 6
Entry from Alexandria: a relaxed structure of SnSb2Au5 (PBE).

Results
Final energy, Ha/atom: -0.133
Formation energy from raw total energies, eV/atom: -0.045
Magnetic moment, μB/f.u.: 0.0

a = 4.2978 Å, b = 7.0270 Å, c = 12.3669 Å
α = 90.00°, β = 90.00°, γ = 99.99°
Closest atoms and distances in Å follow each position.
Fractional coordinates of all 16 atoms:
Au: 0.7578 0.5369 0.5816  2 Sb 2.80-2.85, 4 Au 2.85-3.01, 1 Sn 2.90
Au: 0.0375 0.6885 0.2500  4 Au 2.85-3.02, 2 Sb 2.85, 1 Sn 2.85
Au: 0.2422 0.4631 0.4184  2 Sb 2.80-2.85, 4 Au 2.85-3.01, 1 Sn 2.90
Au: 0.2618 0.0667 0.1358  3 Sb 2.80-2.93, 3 Au 2.82-3.02, 2 Sn 2.96-2.97
Au: 0.7382 0.9333 0.8642  3 Sb 2.80-2.93, 3 Au 2.82-3.02, 2 Sn 2.96-2.97
Au: 0.2618 0.0667 0.3642  3 Sb 2.80-2.93, 3 Au 2.82-3.02, 2 Sn 2.96-2.97
Au: 0.2422 0.4631 0.0816  2 Sb 2.80-2.85, 4 Au 2.85-3.01, 1 Sn 2.90
Au: 0.9625 0.3115 0.7500  4 Au 2.85-3.02, 2 Sb 2.85, 1 Sn 2.85
Au: 0.7382 0.9333 0.6358  3 Sb 2.80-2.93, 3 Au 2.82-3.02, 2 Sn 2.96-2.97
Au: 0.7578 0.5369 0.9184  2 Sb 2.80-2.85, 4 Au 2.85-3.01, 1 Sn 2.90
Sb: 0.6706 0.8116 0.4195  6 Au 2.80-2.93
Sb: 0.6706 0.8116 0.0805  6 Au 2.80-2.93
Sb: 0.3294 0.1884 0.5805  6 Au 2.80-2.93
Sb: 0.3294 0.1884 0.9195  6 Au 2.80-2.93
Sn: 0.1754 0.7189 0.7500  7 Au 2.85-2.97
Sn: 0.8246 0.2811 0.2500  7 Au 2.85-2.97

---

No. 7
Entry from Alexandria: a relaxed structure of Pr4NdHo6 (PBE).

Results
Formation enthalpy at 0 K, eV/atom: 0.15
Final energy, Ha/atom: -0.166
Magnetic moment, μB/f.u.: 0.0

a = 3.5467 Å, b = 11.0765 Å, c = 11.0765 Å
α = 120.00°, β = 90.00°, γ = 90.00°
Closest atoms and distances in Å follow each position.
Fractional coordinates of all 11 atoms:
Ho: 0.0000 0.4958 0.9916  5 Pr 3.12-3.48
Ho: 0.5000 0.1698 0.3396  6 Ho 3.55-3.60, 4 Pr 3.56-3.60, 2 Nd 3.71
Ho: 0.0000 0.0084 0.5042  5 Pr 3.12-3.48
Ho: 0.5000 0.6604 0.8302  6 Ho 3.55-3.60, 4 Pr 3.56-3.60, 2 Nd 3.71
Ho: 0.5000 0.1698 0.8302  6 Ho 3.55-3.60, 4 Pr 3.56-3.60, 2 Nd 3.71
Ho: 0.0000 0.4958 0.5042  5 Pr 3.12-3.48
Nd: 0.0000 0.0000 0.0000  2 Nd 3.55, 6 Ho 3.71
Pr: 0.5000 0.3957 0.1978  6 Ho 3.48-3.56, 2 Pr 3.55
Pr: 0.5000 0.8022 0.6043  6 Ho 3.48-3.56, 2 Pr 3.55
Pr: 0.5000 0.8022 0.1978  6 Ho 3.48-3.56, 2 Pr 3.55
Pr: 0.0000 0.3333 0.6667  3 Ho 3.12

---

No. 8
Entry from Alexandria: a relaxed structure of LaBeIn2 (PBE).

Results
Formation enthalpy at 0 K, eV/atom: -0.02
Final energy, Ha/atom: -0.131
Magnetic moment, μB/f.u.: 0.0

a = 4.2479 Å, b = 4.4562 Å, c = 5.5101 Å
α = 74.70°, β = 90.00°, γ = 90.00°
Closest atoms and distances in Å follow each position.
Fractional coordinates of all 4 atoms:
La: 0.0000 0.4668 0.5888  4 Be 3.07-3.29, 3 In 3.15-3.18
In: 0.0000 0.8253 0.0119  2 Be 2.58
In: 0.5000 0.2537 0.1613  2 Be 2.98-3.10, 4 In 3.11-3.25
Be: 0.5000 0.9542 0.7380  2 In 2.58